Compound: Y2AsRu
Source: Alexandria
Functional: PBE-GGA
Structure: optimized geometry

**Calculated volume**: 23.8 A^3/atom
**Formation enthalpy at 0 K**: -472 meV/atom

CIF file:
```
data_Y2AsRu
_chemical_formula_sum 'Y2 As1 Ru1'
_cell_length_a 4.0374
_cell_length_b 4.0374
_cell_length_c 5.8431
_cell_angle_alpha 90.00
_cell_angle_beta 90.00
_cell_angle_gamma 90.00
_space_group_name_H-M_alt 'P 4 m m'
_space_group_IT_number 99
loop_
_space_group_symop_operation_xyz
'x,y,z'
'-y,x,z'
'-x,-y,z'
'y,-x,z'
'-x,y,z'
'y,x,z'
'x,-y,z'
'-y,-x,z'
loop_
_atom_site_label
_atom_site_type_symbol
_atom_site_fract_x
_atom_site_fract_y
_atom_site_fract_z
Y1 Y 0.0000 0.0000 0.0000
Y2 Y 0.5000 0.5000 0.4051
As1 As 0.0000 0.0000 0.4979
Ru1 Ru 0.5000 0.5000 0.9300
```